## PrSc2Ge2 (PBE)

Data for an optimized crystal structure of PrSc2Ge2.

Cell: 6.189 6.189 6.189 Å, 133.18 133.18 68.37°
Atoms (fractional coordinates):
Pr: 0.000 0.000 0.000
Sc: 0.342 0.342 0.000
Sc: 0.658 0.658 0.000
Ge: 0.250 0.750 0.500
Ge: 0.750 0.250 0.500

## Properties
Density, g cm⁻³: 5.0
Relative energy among the computed polymorphs, meV per atom: 338